Entry from the Open Quantum Materials Database: a geometry-optimized LaGd structure (PBE).

Values from the calculation:
Symmetry: F-43m, No. 216
Energy relative to the elements, eV/atom: 1.5038
Magnetization, Bohr magnetons per cell: 0.000
Polymorph energy (0 for the lowest one), meV per atom: 1465

The structure in CIF format:
```
data_LaGd
_chemical_formula_sum 'La1 Gd1'
_symmetry_space_group_name_H-M 'P 1'
_symmetry_Int_Tables_number 1
_symmetry_space_group_name_Hall 'P 1'
_cell_length_a 4.6234
_cell_length_b 4.6234
_cell_length_c 4.6234
_cell_angle_alpha 60.00
_cell_angle_beta 60.00
_cell_angle_gamma 60.00
loop_
_atom_site_label
_atom_site_type_symbol
_atom_site_fract_x
_atom_site_fract_y
_atom_site_fract_z
Gd1 Gd 0.0000 0.0000 0.0000
La1 La 0.2500 0.2500 0.2500
```


Entry from the Open Quantum Materials Database: a geometry-optimized ErAlSi structure (PBE).

Values from the calculation:
Symmetry: F-43m, No. 216
Magnetization, Bohr magnetons per cell: 0.001

The structure in CIF format:
```
data_ErAlSi
_chemical_formula_sum 'Er1 Al1 Si1'
_symmetry_space_group_name_H-M 'P 1'
_symmetry_Int_Tables_number 1
_symmetry_space_group_name_Hall 'P 1'
_cell_length_a 4.6902
_cell_length_b 4.6902
_cell_length_c 4.6902
_cell_angle_alpha 60.00
_cell_angle_beta 60.00
_cell_angle_gamma 60.00
loop_
_atom_site_label
_atom_site_type_symbol
_atom_site_fract_x
_atom_site_fract_y
_atom_site_fract_z
Al1 Al 0.2500 0.2500 0.2500
Si1 Si 0.7500 0.7500 0.7500
Er1 Er 0.0000 0.0000 0.0000
```


Entry from the Open Quantum Materials Database: a geometry-optimized YPdAu structure (PBE).

Values from the calculation:
Symmetry: F-43m, No. 216
Energy relative to the elements, eV/atom: -0.7068
Magnetization, Bohr magnetons per cell: 0.000

The structure in CIF format:
```
data_YPdAu
_chemical_formula_sum 'Y1 Pd1 Au1'
_symmetry_space_group_name_H-M 'P 1'
_symmetry_Int_Tables_number 1
_symmetry_space_group_name_Hall 'P 1'
_cell_length_a 4.6183
_cell_length_b 4.6183
_cell_length_c 4.6183
_cell_angle_alpha 60.00
_cell_angle_beta 60.00
_cell_angle_gamma 60.00
loop_
_atom_site_label
_atom_site_type_symbol
_atom_site_fract_x
_atom_site_fract_y
_atom_site_fract_z
Y1 Y 0.7500 0.7500 0.7500
Au1 Au 0.2500 0.2500 0.2500
Pd1 Pd 0.0000 0.0000 0.0000
```


Entry from the Open Quantum Materials Database: a geometry-optimized Cd2Sn2O5 structure (PBE).

Values from the calculation:
Symmetry: P4/mmm, No. 123
Polymorph energy (0 for the lowest one), meV per atom: 153

The structure in CIF format:
```
data_Cd2Sn2O5
_chemical_formula_sum 'Cd2 Sn2 O5'
_symmetry_space_group_name_H-M 'P 1'
_symmetry_Int_Tables_number 1
_symmetry_space_group_name_Hall 'P 1'
_cell_length_a 8.9010
_cell_length_b 3.8322
_cell_length_c 3.8322
_cell_angle_alpha 90.00
_cell_angle_beta 90.00
_cell_angle_gamma 90.00
loop_
_atom_site_label
_atom_site_type_symbol
_atom_site_fract_x
_atom_site_fract_y
_atom_site_fract_z
O1 O 0.1385 0.0000 0.5000
Cd1 Cd 0.7474 0.5000 0.5000
Sn1 Sn 0.0000 0.0000 0.0000
O2 O 0.1385 0.5000 0.0000
O3 O 0.8615 0.0000 0.5000
O4 O 0.5000 0.5000 0.5000
Sn2 Sn 0.5000 0.0000 0.0000
Cd2 Cd 0.2526 0.5000 0.5000
O5 O 0.8615 0.5000 0.0000
```


Number 1: total DFT energy (no corrections) -6.57 eV/f.u., theoretical density 7.037 g/cm3. Number 2: total DFT energy (no corrections) -13.33 eV/f.u., theoretical density 5.060 g/cm3. Number 3: total DFT energy (no corrections) -17.03 eV/f.u., theoretical density 9.352 g/cm3. Number 4: total DFT energy (no corrections) -41.71 eV/f.u., theoretical density 6.888 g/cm3.